Record 1
MnAlZn | PBE-GGA | relaxed

The structure in POSCAR format:
```
MnAlZn
1.0
5.8557 0.9884 -0.3109
4.0225 4.3613 0.3172
-4.7880 -2.9504 1.9162
Zn Mn Al
1 1 1
direct
0.6733 0.6733 0.0000
0.3364 0.3361 0.0003
0.9903 0.9906 0.9997
```

Results
ΔE_f in meV/atom: -69
D(E_F) in states/eV/f.u.: 1.6
SG: Cm (8)

Record 2
PmMoAs2 | PBE-GGA | relaxed

The structure in POSCAR format:
```
PmMoAs2
1.0
-3.9283 -1.4017 -2.3201
0.3575 -2.9633 -3.7242
-1.5172 -4.5089 0.3838
Mo As Pm
1 2 1
direct
0.5000 0.5000 0.5000
0.2500 0.2500 0.2500
0.7500 0.7500 0.7500
0.0000 0.0000 0.0000
```

Results
ΔE_f in meV/atom: -401
Offset from the most stable computed form in meV/atom: 205
D(E_F) in states/eV/f.u.: 3.8
SG: Fm-3m (225)

Record 3
Ho3Te2Se2 | PBE-GGA | relaxed

The structure in POSCAR format:
```
Ho3Te2Se2
1.0
3.9570 0.0000 -1.0629
-0.1505 6.2110 -0.5602
0.1566 0.3264 8.4803
Ho Te Se
3 2 2
direct
0.0000 0.0000 0.0000
0.1861 0.7414 0.3721
0.8139 0.2586 0.6279
0.1738 0.2435 0.3475
0.8262 0.7565 0.6525
0.4311 0.2513 0.8623
0.5689 0.7487 0.1377
```

Results
Formation energy without anion corrections in eV/atom: -1.5509
Offset from the most stable computed form in meV/atom: 78
D(E_F) in states/eV/f.u.: 2.8
SG: C2/m (12)

Record 4
Re7As | PBE-GGA | relaxed

The structure in POSCAR format:
```
Re7As
1.0
4.8364 -2.6022 -0.7478
1.5276 -4.0564 3.4544
0.0764 -5.2557 -1.7588
Re As
7 1
direct
0.5000 0.5000 0.0000
0.5000 0.0000 0.5000
0.5000 0.0000 0.0000
0.0000 0.0000 0.5000
0.0000 0.5000 0.0000
0.0000 0.5000 0.5000
0.5000 0.5000 0.5000
0.0000 0.0000 0.0000
```

Results
ΔE_f in meV/atom: 413
D(E_F) in states/eV/f.u.: 11.8
SG: Fm-3m (225)

Record 5
Cr2CuTcH | PBE-GGA | relaxed

The structure in POSCAR format:
```
Cr2CuTcH
1.0
-3.5298 1.0785 -0.2986
-0.9678 -2.4463 2.6060
0.5775 2.6341 2.6872
Cr Tc Cu H
2 1 1 1
direct
0.0000 0.5000 0.0000
0.5000 0.0000 0.0000
0.0000 0.0000 0.5000
0.5000 0.5000 0.5000
0.0000 0.0000 0.0000
```

Results
D(E_F) in states/eV/f.u.: 4.1
E in eV/cell: -36.093
SG: P4/mmm (123)

Record 6
Y2GeCl | PBE-GGA | relaxed

The structure in POSCAR format:
```
Y2GeCl
1.0
-0.0496 -0.9156 6.0835
4.1666 -4.4809 -0.6404
7.0099 1.8032 3.4394
Y Ge Cl
4 2 2
direct
0.6296 0.1250 0.2500
0.1204 0.6250 0.2500
0.3750 0.3704 0.7500
0.8750 0.8796 0.7500
0.0000 0.0000 0.0000
0.7500 0.2500 0.5000
0.5000 0.5000 0.0000
0.2500 0.7500 0.5000
```

Results
Formation energy without anion corrections in eV/atom: -0.7403
Offset from the most stable computed form in meV/atom: 460
D(E_F) in states/eV/f.u.: 2.9
SG: I-42d (122)

Record 7
KCu2HBr6 | PBE-GGA | relaxed

The structure in POSCAR format:
```
KCu2HBr6
1.0
7.1274 -0.1089 -0.1130
2.1179 9.4126 -0.3960
2.1179 -0.7446 9.3915
K Cu H Br
2 4 2 12
direct
0.2500 0.8417 0.1583
0.7500 0.1583 0.8417
0.3286 0.7628 0.6552
0.1714 0.3448 0.2372
0.6714 0.2372 0.3448
0.8286 0.6552 0.7628
0.2500 0.3318 0.6682
0.7500 0.6682 0.3318
0.2228 0.9675 0.8328
0.2772 0.1672 0.0325
0.7772 0.0325 0.1672
0.7228 0.8328 0.9675
0.5250 0.7751 0.4126
0.9750 0.5874 0.2249
0.4750 0.2249 0.5874
0.0250 0.4126 0.7751
0.0135 0.7859 0.6032
0.4865 0.3968 0.2141
0.9865 0.2141 0.3968
0.5135 0.6032 0.7859
```

Results
D(E_F) in states/eV/f.u.: 0.5
E in eV/cell: -55.873
SG: C2/c (15)

Record 8
Pr15Dy4Er | PBE-GGA | relaxed

The structure in POSCAR format:
```
Pr15Dy4Er
1.0
-4.3039 1.9807 -2.1528
-2.8255 -3.8069 2.1461
-3.7701 14.6423 21.0095
Pr Dy Er
15 4 1
direct
0.5000 0.5000 0.0000
0.5000 0.5000 0.1998
0.5000 0.5000 0.4000
0.5000 0.5000 0.6000
0.5000 0.5000 0.8002
0.5000 0.0000 0.0997
0.5000 0.0000 0.2999
0.5000 0.0000 0.5000
0.5000 0.0000 0.7001
0.5000 0.0000 0.9003
0.0000 0.5000 0.0997
0.0000 0.5000 0.2999
0.0000 0.5000 0.5000
0.0000 0.5000 0.7001
0.0000 0.5000 0.9003
0.0000 0.0000 0.1998
0.0000 0.0000 0.4000
0.0000 0.0000 0.6000
0.0000 0.0000 0.8002
0.0000 0.0000 0.0000
```

Results
ΔE_f in meV/atom: 10
D(E_F) in states/eV/f.u.: 27.6
SG: P4/mmm (123)

Record 9
SrLi4Pd4 | PBE-GGA | relaxed

The structure in POSCAR format:
```
SrLi4Pd4
1.0
4.6661 0.0000 0.0000
0.0000 8.4383 0.0000
0.0000 0.0000 8.4383
Sr Li Pd
2 8 8
direct
0.0000 0.0000 0.0000
0.5000 0.5000 0.5000
0.5014 0.8499 0.2764
0.5014 0.1501 0.7236
0.0014 0.7764 0.6501
0.9986 0.3499 0.7764
0.9986 0.6501 0.2236
0.4986 0.2764 0.1501
0.4986 0.7236 0.8499
0.0014 0.2236 0.3499
0.4982 0.4075 0.8740
0.9982 0.6260 0.9075
0.4982 0.5925 0.1260
0.0018 0.0925 0.6260
0.5018 0.8740 0.5925
0.0018 0.9075 0.3740
0.9982 0.3740 0.0925
0.5018 0.1260 0.4075
```

Results
ΔE_f in meV/atom: -307
D(E_F) in states/eV/f.u.: 2.6
SG: P4_2/n (86)

Record 10
Pm4YSb2 | PBE-GGA | relaxed

The structure in POSCAR format:
```
Pm4YSb2
1.0
-1.4812 2.5921 4.4591
3.1211 -3.2430 2.9219
5.6693 5.6988 -4.6584
Pm Y Sb
4 1 2
direct
0.8154 0.8154 0.6308
0.1846 0.1846 0.3692
0.0000 0.5000 0.0000
0.5000 0.0000 0.0000
0.0000 0.0000 0.0000
0.6330 0.6330 0.2660
0.3670 0.3670 0.7340
```

Results
Formation energy without anion corrections in eV/atom: 0.1415
D(E_F) in states/eV/f.u.: 7.8
SG: I4/mmm (139)

Record 11
LiTc2Cl | PBE-GGA | relaxed

The structure in POSCAR format:
```
LiTc2Cl
1.0
0.3651 -2.4457 3.3952
-2.0820 0.9659 3.5178
-3.2396 -2.3683 1.2405
Li Tc Cl
1 2 1
direct
0.0000 0.0000 0.0000
0.2500 0.2500 0.2500
0.7500 0.7500 0.7500
0.5000 0.5000 0.5000
```

Results
Formation energy without anion corrections in eV/atom: 0.9851
Offset from the most stable computed form in meV/atom: 1170
D(E_F) in states/eV/f.u.: 4.5
SG: Fm-3m (225)

Record 12
Ba4LiPa3S12 | PBE-GGA | relaxed

The structure in POSCAR format:
```
Ba4LiPa3S12
1.0
-6.8751 5.6576 -1.5296
-3.1277 -7.5893 3.7731
5.9349 3.9111 5.5763
Ba Li Pa S
4 1 3 12
direct
0.5000 0.5000 0.5000
0.0000 0.0000 0.5000
0.5000 0.0000 0.0000
0.0000 0.5000 0.0000
0.0000 0.0000 0.0000
0.5000 0.0000 0.5000
0.5000 0.5000 0.0000
0.0000 0.5000 0.5000
0.2500 0.5000 0.7500
0.7453 0.0000 0.7453
0.2547 0.0000 0.2547
0.7500 0.5000 0.2500
0.7453 0.7453 0.0000
0.2547 0.2547 0.0000
0.7500 0.2500 0.5000
0.2500 0.7500 0.5000
0.5000 0.2500 0.7500
0.0000 0.7453 0.7453
0.5000 0.7500 0.2500
0.0000 0.2547 0.2547
```

Results
Formation energy without anion corrections in eV/atom: -1.7699
D(E_F) in states/eV/f.u.: 0.0
SG: Im-3m (229)

Q: The highest D(E_F) belongs to which entry?
A: Pr15Dy4Er

Q: Which value of D(E_F) does entry 8 give?
A: 27.6 states/eV/f.u.

Q: Which of these has the highest D(E_F)?
A: Pr15Dy4Er

Q: Which value of D(E_F) does entry 4 give?
A: 11.8 states/eV/f.u.